No. 1
Material: CdRe2Pt
Method: DFT, PBE
State: optimized geometry

Lattice parameters (Å, degrees): 2.7930 4.9749 4.7582 90.00 91.01 90.00
Fractional coordinates of all 4 atoms:
Cd: 0.0000 0.0000 0.0000
Re: 0.3099 0.5000 0.7519
Re: 0.6901 0.5000 0.2481
Pt: 0.5000 0.0000 0.5000

The formation energy comes out at 0.43 eV/atom. For the calculated volume, the calculation gives 66.1 Å³ per cell. Its density of states at the Fermi level is 2.80 states/eV/cell. The calculated total energy comes out at -7.534 eV per atom.



No. 2
Material: Sr2LaSi
Method: DFT, PBE
State: optimized geometry

Lattice parameters (Å, degrees): 6.5630 6.5630 6.5630 136.79 136.79 62.77
Fractional coordinates of all 4 atoms:
Sr: 0.2500 0.7500 0.5000
Sr: 0.7500 0.2500 0.5000
La: 0.0000 0.0000 0.0000
Si: 0.5000 0.5000 0.0000

The value obtained for the formation energy without anion corrections is 3 kJ per mole of atoms. For the calculated volume, the calculation gives 130.9 Å³ per cell. Its density of states at the Fermi level is 3.37 states/eV/cell. The calculated total energy comes out at -3.396 eV per atom.



No. 3
Material: CoP2RuS
Method: DFT, PBE
State: optimized geometry

Lattice parameters (Å, degrees): 4.3897 4.3897 5.1685 90.00 90.00 90.00
Fractional coordinates of all 5 atoms:
Co: 0.0000 0.0000 0.0000
P: 0.0000 0.5000 0.5000
P: 0.5000 0.0000 0.5000
Ru: 0.5000 0.5000 0.5000
S: 0.5000 0.5000 0.0000

The value obtained for the formation energy without anion corrections is 90 kJ per mole of atoms. The calculation puts the relative energy among the computed polymorphs at 178 meV/atom. For the calculated volume, the calculation gives 99.6 Å³ per cell. Its density of states at the Fermi level is 7.41 states/eV/cell. The calculated total energy comes out at -5.329 eV per atom.



No. 4
Material: BaIr2Au
Method: DFT, PBE
State: optimized geometry

Lattice parameters (Å, degrees): 3.4409 3.4409 7.3048 90.00 90.00 90.00
Fractional coordinates of all 4 atoms:
Ba: 0.0000 0.0000 0.0000
Ir: 0.5000 0.5000 0.3194
Ir: 0.5000 0.5000 0.6806
Au: 0.0000 0.0000 0.5000

The formation energy comes out at 0.63 eV/atom. The calculation puts the relative energy among the computed polymorphs at 774 meV/atom. For the calculated volume, the calculation gives 86.5 Å³ per cell. Its density of states at the Fermi level is 8.21 states/eV/cell. The calculated total energy comes out at -5.097 eV per atom.



No. 5
Material: CaLa2Nb
Method: DFT, PBE
State: optimized geometry

Lattice parameters (Å, degrees): 5.5401 5.5401 5.5401 60.00 60.00 60.00
Fractional coordinates of all 4 atoms:
Ca: 0.0000 0.0000 0.0000
La: 0.2500 0.2500 0.2500
La: 0.7500 0.7500 0.7500
Nb: 0.5000 0.5000 0.5000

The formation energy comes out at 0.40 eV/atom. The calculation puts the relative energy among the computed polymorphs at 0 meV/atom. For the calculated volume, the calculation gives 120.2 Å³ per cell. Its density of states at the Fermi level is 6.27 states/eV/cell. The calculated total energy comes out at -5.082 eV per atom.



No. 6
Material: BaZn2GaRu
Method: DFT, PBE
State: optimized geometry

Lattice parameters (Å, degrees): 4.9575 4.9575 4.8274 90.00 90.00 90.00
Fractional coordinates of all 5 atoms:
Ba: 0.0000 0.0000 0.0000
Zn: 0.0000 0.5000 0.5000
Zn: 0.5000 0.0000 0.5000
Ga: 0.5000 0.5000 0.0000
Ru: 0.5000 0.5000 0.5000

The formation energy comes out at -0.29 eV/atom. For the calculated volume, the calculation gives 118.6 Å³ per cell. Its density of states at the Fermi level is 2.37 states/eV/cell. The calculated total energy comes out at -3.644 eV per atom.



No. 7
Material: Sr3AgRu
Method: DFT, PBE
State: optimized geometry

Lattice parameters (Å, degrees): 5.6697 5.6697 5.6697 90.00 90.00 90.00
Fractional coordinates of all 5 atoms:
Sr: 0.0000 0.0000 0.5000
Sr: 0.0000 0.5000 0.0000
Sr: 0.5000 0.0000 0.0000
Ag: 0.5000 0.5000 0.5000
Ru: 0.0000 0.0000 0.0000

The formation energy comes out at 0.26 eV/atom. The calculation puts the relative energy among the computed polymorphs at 0 meV/atom. For the calculated volume, the calculation gives 182.3 Å³ per cell. Its density of states at the Fermi level is 4.83 states/eV/cell. The calculated total energy comes out at -3.176 eV per atom.



No. 8
Material: ReRhSe2
Method: DFT, PBE
State: optimized geometry

Lattice parameters (Å, degrees): 2.6879 4.1806 6.1151 90.00 90.00 90.00
Fractional coordinates of all 4 atoms:
Re: 0.0000 0.0000 0.0000
Rh: 0.0000 0.0000 0.5000
Se: 0.0000 0.5000 0.2503
Se: 0.0000 0.5000 0.7497

The value obtained for the formation energy without anion corrections is 49 kJ per mole of atoms. The calculation puts the relative energy among the computed polymorphs at 480 meV/atom. For the calculated volume, the calculation gives 68.7 Å³ per cell. Its density of states at the Fermi level is 3.27 states/eV/cell. The calculated total energy comes out at -6.181 eV per atom.



Among the records above, which one has the lowest calculated volume?
CdRe2Pt



Which formula does entry 8 have?
ReRhSe2



The highest calculated volume belongs to which entry?
Sr3AgRu